Record 1
## DyTm2AlPd4 (PBE)

Data for a geometry-optimized DyTm2AlPd4 structure.

Unit cell a=8.3428 b=8.3428 c=8.3428 alpha=33.34 beta=33.34 gamma=33.34
Sites, in units of the cell vectors:
Dy  0.0000  0.0000  0.0000
Tm  0.2449  0.2449  0.2449
Tm  0.7551  0.7551  0.7551
Al  0.5000  0.5000  0.5000
Pd  0.1267  0.1267  0.1267
Pd  0.3869  0.3869  0.3869
Pd  0.6131  0.6131  0.6131
Pd  0.8733  0.8733  0.8733

Calculated values
Crystal system: trigonal
Formation enthalpy at 0 K: -0.879 eV per atom
Total magnetic moment: 0.0 μB per formula unit
SG: R-3m (166)
Volume: 19.52 Å³/atom
Calculated density: 10.1 Mg/m³
E_tot: -0.4142 Ry/atom

Record 2
## La2In2Pd15 (PBE)

Data for a geometry-optimized La2In2Pd15 structure.

Unit cell a=7.0903 b=7.0903 c=7.0903 alpha=81.31 beta=81.31 gamma=81.31
Sites, in units of the cell vectors:
La  0.1492  0.1492  0.1492
La  0.8508  0.8508  0.8508
In  0.3976  0.3976  0.3976
In  0.6024  0.6024  0.6024
Pd  0.0000  0.5000  0.5000
Pd  0.1501  0.1501  0.6554
Pd  0.1501  0.6554  0.1501
Pd  0.1971  0.5000  0.8029
Pd  0.1971  0.8029  0.5000
Pd  0.3446  0.8499  0.8499
Pd  0.5000  0.0000  0.5000
Pd  0.5000  0.1971  0.8029
Pd  0.5000  0.5000  0.0000
Pd  0.5000  0.8029  0.1971
Pd  0.6554  0.1501  0.1501
Pd  0.8029  0.1971  0.5000
Pd  0.8029  0.5000  0.1971
Pd  0.8499  0.3446  0.8499
Pd  0.8499  0.8499  0.3446

Calculated values
Crystal system: trigonal
Formation enthalpy at 0 K: -0.445 eV per atom
Total magnetic moment: 0.0 μB per formula unit
SG: R-3m (166)
Volume: 18.17 Å³/atom
Calculated density: 10.1 Mg/m³
E_tot: -0.3933 Ry/atom

Record 3
## Sr2ZnRhPb (PBE)

Data for a geometry-optimized Sr2ZnRhPb structure.

Unit cell a=5.7385 b=5.7385 c=4.8555 alpha=90.00 beta=90.00 gamma=90.00
Sites, in units of the cell vectors:
Sr  0.0000  0.5000  0.0000
Sr  0.5000  0.0000  0.0000
Zn  0.0000  0.0000  0.5000
Rh  0.0000  0.0000  0.0000
Pb  0.5000  0.5000  0.5000

Calculated values
Crystal system: tetragonal
Formation enthalpy at 0 K: -0.154 eV per atom
Total magnetic moment: 0.7 μB per formula unit
SG: P4/mmm (123)
Volume: 31.98 Å³/atom
Calculated density: 5.7 Mg/m³
E_tot: -0.2421 Ry/atom

Record 4
## SrMg3In3 (PBE)

Data for a geometry-optimized SrMg3In3 structure.

Unit cell a=9.1454 b=9.1454 c=5.1385 alpha=90.00 beta=90.00 gamma=120.00
Sites, in units of the cell vectors:
Sr  0.3333  0.6667  0.2500
Sr  0.6667  0.3333  0.7500
Mg  0.0110  0.2215  0.2500
Mg  0.2106  0.9890  0.2500
Mg  0.2215  0.2106  0.7500
Mg  0.7785  0.7894  0.2500
Mg  0.7894  0.0110  0.7500
Mg  0.9890  0.7785  0.7500
In  0.0799  0.4511  0.7500
In  0.3713  0.9201  0.7500
In  0.4511  0.3713  0.2500
In  0.5489  0.6287  0.7500
In  0.6287  0.0799  0.2500
In  0.9201  0.5489  0.2500

Calculated values
Crystal system: hexagonal
E above lowest polymorph: 0.0 meV/atom
Formation enthalpy at 0 K: -0.142 eV per atom
Total magnetic moment: 0.0 μB per formula unit
SG: P6_3/m (176)
Volume: 26.59 Å³/atom
Calculated density: 4.5 Mg/m³
E_tot: -0.1646 Ry/atom

Record 5
## AgPS2N (PBE)

Data for a geometry-optimized AgPS2N structure.

Unit cell a=4.8465 b=4.8465 c=5.0357 alpha=90.00 beta=90.00 gamma=90.00
Sites, in units of the cell vectors:
Ag  0.0000  0.0000  0.0000
P  0.0000  0.0000  0.5000
S  0.0000  0.5000  0.0000
S  0.5000  0.0000  0.0000
N  0.5000  0.5000  0.5000

Calculated values
Formation energy without anion corrections: 2.030 eV per atom
Crystal system: tetragonal
E above lowest polymorph: 1461.3 meV/atom
Total magnetic moment: 1.9 μB per formula unit
SG: P4/mmm (123)
Volume: 23.66 Å³/atom
Calculated density: 3.0 Mg/m³
E_tot: -0.2160 Ry/atom

Record 6
## Hf6VTc5 (PBE)

Data for a geometry-optimized Hf6VTc5 structure.

Unit cell a=7.3215 b=7.3215 c=6.5490 alpha=90.00 beta=90.00 gamma=143.17
Sites, in units of the cell vectors:
Hf  0.0000  0.0000  0.2440
Hf  0.0000  0.0000  0.7560
Hf  0.3311  0.6689  0.2478
Hf  0.3311  0.6689  0.7522
Hf  0.6689  0.3311  0.2478
Hf  0.6689  0.3311  0.7522
V  0.5000  0.5000  0.5000
Tc  0.1627  0.8373  0.5000
Tc  0.1672  0.8328  0.0000
Tc  0.5000  0.5000  0.0000
Tc  0.8328  0.1672  0.0000
Tc  0.8373  0.1627  0.5000

Calculated values
Crystal system: orthorhombic
Formation enthalpy at 0 K: -0.402 eV per atom
Total magnetic moment: 2.0 μB per formula unit
SG: Cmmm (65)
Volume: 17.53 Å³/atom
Calculated density: 12.7 Mg/m³
E_tot: -0.7686 Ry/atom

Record 7
## BeW2Cl (PBE)

Data for a geometry-optimized BeW2Cl structure.

Unit cell a=8.4147 b=8.4147 c=8.4147 alpha=19.46 beta=19.46 gamma=19.46
Sites, in units of the cell vectors:
Be  0.0000  0.0000  0.0000
W  0.2530  0.2530  0.2530
W  0.7470  0.7470  0.7470
Cl  0.5000  0.5000  0.5000

Calculated values
Formation energy without anion corrections: 0.684 eV per atom
Crystal system: trigonal
E above lowest polymorph: 370.3 meV/atom
Total magnetic moment: 0.0 μB per formula unit
SG: R-3m (166)
Volume: 14.46 Å³/atom
Calculated density: 11.8 Mg/m³
E_tot: -0.5282 Ry/atom

Record 8
## YRe3N (PBE)

Data for a geometry-optimized YRe3N structure.

Unit cell a=4.2205 b=4.2205 c=4.2205 alpha=90.00 beta=90.00 gamma=90.00
Sites, in units of the cell vectors:
Y  0.0000  0.0000  0.0000
Re  0.0000  0.5000  0.5000
Re  0.5000  0.0000  0.5000
Re  0.5000  0.5000  0.0000
N  0.5000  0.5000  0.5000

Calculated values
Formation energy without anion corrections: 0.275 eV per atom
Crystal system: cubic
E above lowest polymorph: 0.0 meV/atom
Total magnetic moment: 0.0 μB per formula unit
SG: Pm-3m (221)
Volume: 15.04 Å³/atom
Calculated density: 14.6 Mg/m³
E_tot: -0.7462 Ry/atom